A geometry-optimized Ba2TlAg2 structure, computed with PBE.

Values from the calculation:
D(E_F)   1.229 states/eV per atom
Energy relative to the elements   -0.11 eV per atom
Space group   P4/mbm, No. 127

Lattice parameters (Å, degrees): 9.5062 9.5062 4.1058 90.00 90.00 90.00
Closest atoms and distances in Å follow each position.
Fractional coordinates of all 10 atoms:
Ba  0.1735  0.3265  0.0000  6 Ag 3.45-3.54, 2 Tl 3.51
Ba  0.3265  0.8265  0.0000  6 Ag 3.45-3.54, 2 Tl 3.51
Ba  0.6735  0.1735  0.0000  6 Ag 3.45-3.54, 2 Tl 3.51
Ba  0.8265  0.6735  0.0000  6 Ag 3.45-3.54, 2 Tl 3.51
Tl  0.0000  0.0000  0.0000  4 Ba 3.51
Tl  0.5000  0.5000  0.0000  4 Ba 3.51
Ag  0.1121  0.6121  0.5000  1 Ag 3.02
Ag  0.3879  0.1121  0.5000  1 Ag 3.02
Ag  0.6121  0.8879  0.5000  1 Ag 3.02
Ag  0.8879  0.3879  0.5000  1 Ag 3.02

A geometry-optimized BaTlAg3 structure, computed with PBE.

Values from the calculation:
D(E_F)   0.521 states/eV per atom
Energy relative to the elements   -0.16 eV per atom
Space group   Cm, No. 8

Lattice parameters (Å, degrees): 7.8952 6.9048 6.1299 90.00 124.96 90.00
Closest atoms and distances in Å follow each position.
Fractional coordinates of all 10 atoms:
Ba  0.0000  0.0000  0.0000  12 Ag 3.58-3.78, 4 Tl 3.71-3.74
Ba  0.5000  0.5000  0.0000  12 Ag 3.58-3.78, 4 Tl 3.71-3.74
Tl  0.3289  0.0000  0.7436  5 Ag 2.89-2.95
Tl  0.8289  0.5000  0.7436  5 Ag 2.89-2.95
Ag  0.1907  0.5000  0.2876  4 Ag 2.83-2.85, 1 Tl 2.89
Ag  0.4995  0.2101  0.4913  3 Ag 2.83-2.90, 2 Tl 2.92-2.95
Ag  0.4995  0.7899  0.4913  3 Ag 2.83-2.90, 2 Tl 2.92-2.95
Ag  0.6907  0.0000  0.2876  4 Ag 2.83-2.85, 1 Tl 2.89
Ag  0.9995  0.2899  0.4913  3 Ag 2.83-2.90, 2 Tl 2.92-2.95
Ag  0.9995  0.7101  0.4913  3 Ag 2.83-2.90, 2 Tl 2.92-2.95

A geometry-optimized Ba6TlAg structure, computed with PBE.

Values from the calculation:
D(E_F)   1.144 states/eV per atom
Energy relative to the elements   -0.16 eV per atom
Space group   I4/mmm, No. 139

Lattice parameters (Å, degrees): 6.0813 6.0813 21.9854 90.00 90.00 90.00
Closest atoms and distances in Å follow each position.
Fractional coordinates of all 16 atoms:
Ba  0.0000  0.0000  0.2458  12 Ba 4.30-4.74
Ba  0.0000  0.0000  0.7542  12 Ba 4.30-4.74
Ba  0.0000  0.5000  0.0888  2 Tl 3.61, 2 Ag 3.61, 1 Ba 3.91
Ba  0.0000  0.5000  0.4112  2 Tl 3.61, 2 Ag 3.61, 1 Ba 3.91
Ba  0.0000  0.5000  0.5888  2 Tl 3.61, 2 Ag 3.61, 1 Ba 3.91
Ba  0.0000  0.5000  0.9112  2 Ag 3.61, 2 Tl 3.61, 1 Ba 3.91
Ba  0.5000  0.0000  0.0888  2 Tl 3.61, 2 Ag 3.61, 1 Ba 3.91
Ba  0.5000  0.0000  0.4112  2 Tl 3.61, 2 Ag 3.61, 1 Ba 3.91
Ba  0.5000  0.0000  0.5888  2 Tl 3.61, 2 Ag 3.61, 1 Ba 3.91
Ba  0.5000  0.0000  0.9112  2 Ag 3.61, 2 Tl 3.61, 1 Ba 3.91
Ba  0.5000  0.5000  0.2542  12 Ba 4.30-4.74
Ba  0.5000  0.5000  0.7458  12 Ba 4.30-4.74
Tl  0.0000  0.0000  0.0000  8 Ba 3.61
Tl  0.5000  0.5000  0.5000  8 Ba 3.61
Ag  0.0000  0.0000  0.5000  8 Ba 3.61
Ag  0.5000  0.5000  0.0000  8 Ba 3.61

A geometry-optimized Ba3Tl4Ag4 structure, computed with PBE.

Values from the calculation:
D(E_F)   0.710 states/eV per atom
Energy relative to the elements   -0.20 eV per atom
Space group   Immm, No. 71

Lattice parameters (Å, degrees): 9.5645 9.5645 9.5645 147.72 132.77 58.37
Closest atoms and distances in Å follow each position.
Fractional coordinates of all 11 atoms:
Ba  0.0000  0.0000  0.0000  6 Tl 3.56-3.63
Ba  0.3588  0.8588  0.5000  6 Ag 3.54-3.61, 6 Tl 3.56-3.84
Ba  0.6412  0.1412  0.5000  6 Ag 3.54-3.61, 6 Tl 3.56-3.84
Tl  0.2174  0.2174  0.0000  6 Ag 3.12-3.14
Tl  0.3095  0.5000  0.8095  2 Ag 2.91, 1 Tl 2.92
Tl  0.6905  0.5000  0.1905  2 Ag 2.91, 1 Tl 2.92
Tl  0.7826  0.7826  0.0000  6 Ag 3.12-3.14
Ag  0.0200  0.3353  0.6847  1 Ag 2.83, 4 Tl 2.91-3.14
Ag  0.3494  0.6647  0.6847  1 Ag 2.83, 4 Tl 2.91-3.14
Ag  0.6506  0.3353  0.3153  1 Ag 2.83, 4 Tl 2.91-3.14
Ag  0.9800  0.6647  0.3153  1 Ag 2.83, 4 Tl 2.91-3.14

A geometry-optimized Ba6TlAg2 structure, computed with PBE.

Values from the calculation:
D(E_F)   1.033 states/eV per atom
Energy relative to the elements   -0.22 eV per atom
Space group   Immm, No. 71

Lattice parameters (Å, degrees): 10.1659 10.1659 10.1659 113.46 108.57 106.47
Closest atoms and distances in Å follow each position.
Fractional coordinates of all 18 atoms:
Ba  0.0621  0.2481  0.8139  1 Ag 3.48, 2 Tl 3.74-3.78
Ba  0.1739  0.2737  0.4476  3 Ag 3.56-3.58, 1 Tl 3.68
Ba  0.1739  0.7263  0.9003  3 Ag 3.56-3.58, 1 Tl 3.68
Ba  0.3343  0.0295  0.6953  3 Ag 3.42-3.58
Ba  0.3343  0.6390  0.3047  3 Ag 3.42-3.58
Ba  0.4342  0.2481  0.1861  1 Ag 3.48, 2 Tl 3.74-3.78
Ba  0.5658  0.7519  0.8139  1 Ag 3.48, 2 Tl 3.74-3.78
Ba  0.6657  0.3610  0.6953  3 Ag 3.42-3.58
Ba  0.6657  0.9705  0.3047  3 Ag 3.42-3.58
Ba  0.8261  0.2737  0.0997  3 Ag 3.56-3.58, 1 Tl 3.68
Ba  0.8261  0.7263  0.5524  3 Ag 3.56-3.58, 1 Tl 3.68
Ba  0.9379  0.7519  0.1861  1 Ag 3.48, 2 Tl 3.74-3.78
Tl  0.0000  0.0000  0.0000  8 Ba 3.68-3.74, 2 Ag 3.94
Tl  0.5000  0.5000  0.0000  8 Ba 3.78-3.95
Ag  0.1178  0.6178  0.5000  1 Ag 2.87
Ag  0.3319  0.0000  0.3319  8 Ba 3.48-3.58
Ag  0.6681  0.0000  0.6681  8 Ba 3.48-3.58
Ag  0.8822  0.3822  0.5000  1 Ag 2.87

A geometry-optimized Ba12Tl6Ag structure, computed with PBE.

Values from the calculation:
D(E_F)   1.531 states/eV per atom
Energy relative to the elements   -0.16 eV per atom
Space group   R-3, No. 148

Lattice parameters (Å, degrees): 10.1545 10.1545 10.1545 98.95 98.95 98.95
Closest atoms and distances in Å follow each position.
Fractional coordinates of all 19 atoms:
Ba  0.0478  0.6778  0.9333  1 Ag 3.36, 2 Tl 3.54-3.56
Ba  0.0667  0.9522  0.3222  1 Ag 3.36, 2 Tl 3.54-3.56
Ba  0.1779  0.4333  0.5797  4 Tl 3.47-3.76
Ba  0.3222  0.0667  0.9522  1 Ag 3.36, 2 Tl 3.54-3.56
Ba  0.4203  0.8221  0.5667  4 Tl 3.47-3.76
Ba  0.4333  0.5797  0.1779  4 Tl 3.47-3.76
Ba  0.5667  0.4203  0.8221  4 Tl 3.47-3.76
Ba  0.5797  0.1779  0.4333  4 Tl 3.47-3.76
Ba  0.6778  0.9333  0.0478  1 Ag 3.36, 2 Tl 3.54-3.56
Ba  0.8221  0.5667  0.4203  4 Tl 3.47-3.76
Ba  0.9333  0.0478  0.6778  1 Ag 3.36, 2 Tl 3.54-3.56
Ba  0.9522  0.3222  0.0667  1 Ag 3.36, 2 Tl 3.54-3.56
Tl  0.1354  0.6189  0.2949  7 Ba 3.47-3.80
Tl  0.2949  0.1354  0.6189  7 Ba 3.47-3.80
Tl  0.3811  0.7051  0.8646  7 Ba 3.47-3.80
Tl  0.6189  0.2949  0.1354  7 Ba 3.47-3.80
Tl  0.7051  0.8646  0.3811  7 Ba 3.47-3.80
Tl  0.8646  0.3811  0.7051  7 Ba 3.47-3.80
Ag  0.0000  0.0000  0.0000  6 Ba 3.36

A geometry-optimized Ba4Tl3Ag structure, computed with PBE.

Values from the calculation:
D(E_F)   0.925 states/eV per atom
Energy relative to the elements   -0.36 eV per atom
Space group   P4/mmm, No. 123

Lattice parameters (Å, degrees): 4.2427 4.2427 17.1275 90.00 90.00 90.00
Closest atoms and distances in Å follow each position.
Fractional coordinates of all 8 atoms:
Ba  0.0000  0.0000  0.1202  4 Ag 3.64, 4 Tl 3.71
Ba  0.0000  0.0000  0.3733  8 Tl 3.69-3.70
Ba  0.0000  0.0000  0.6267  8 Tl 3.69-3.70
Ba  0.0000  0.0000  0.8798  4 Ag 3.64, 4 Tl 3.71
Tl  0.5000  0.5000  0.2477  8 Ba 3.69-3.71
Tl  0.5000  0.5000  0.5000  8 Ba 3.70
Tl  0.5000  0.5000  0.7523  8 Ba 3.69-3.71
Ag  0.5000  0.5000  0.0000  8 Ba 3.64

A geometry-optimized Ba3Tl2Ag structure, computed with PBE.

Values from the calculation:
D(E_F)   0.486 states/eV per atom
Energy relative to the elements   -0.36 eV per atom
Space group   Cmmm, No. 65

Lattice parameters (Å, degrees): 5.9564 17.9727 4.2455 90.00 90.00 90.00
Closest atoms and distances in Å follow each position.
Fractional coordinates of all 12 atoms:
Ba  0.0000  0.0000  0.0000  4 Ag 3.66, 4 Tl 3.83
Ba  0.0000  0.3423  0.0000  2 Ag 3.54, 6 Tl 3.64-3.67
Ba  0.0000  0.6577  0.0000  2 Ag 3.54, 6 Tl 3.64-3.67
Ba  0.5000  0.1577  0.0000  2 Ag 3.54, 6 Tl 3.64-3.67
Ba  0.5000  0.5000  0.0000  4 Ag 3.66, 4 Tl 3.83
Ba  0.5000  0.8423  0.0000  2 Ag 3.54, 6 Tl 3.64-3.67
Tl  0.0000  0.1777  0.5000  8 Ba 3.64-3.83, 2 Tl 3.95
Tl  0.0000  0.8223  0.5000  8 Ba 3.64-3.83, 2 Tl 3.95
Tl  0.5000  0.3223  0.5000  8 Ba 3.64-3.83, 2 Tl 3.95
Tl  0.5000  0.6777  0.5000  8 Ba 3.64-3.83, 2 Tl 3.95
Ag  0.0000  0.5000  0.5000  8 Ba 3.54-3.66
Ag  0.5000  0.0000  0.5000  8 Ba 3.54-3.66

A geometry-optimized Ba12TlAg5 structure, computed with PBE.

Values from the calculation:
D(E_F)   1.022 states/eV per atom
Energy relative to the elements   -0.19 eV per atom
Space group   Immm, No. 71

Lattice parameters (Å, degrees): 10.1282 10.1282 10.1282 113.60 109.32 105.60
Closest atoms and distances in Å follow each position.
Fractional coordinates of all 18 atoms:
Ba  0.0609  0.2488  0.8121  2 Ag 3.51-3.76, 1 Tl 3.78
Ba  0.1742  0.2713  0.4454  4 Ag 3.56-3.64
Ba  0.1742  0.7287  0.9029  4 Ag 3.56-3.64
Ba  0.3342  0.0301  0.6959  3 Ag 3.43-3.53
Ba  0.3342  0.6383  0.3041  3 Ag 3.43-3.53
Ba  0.4366  0.2488  0.1879  2 Ag 3.51-3.76, 1 Tl 3.78
Ba  0.5634  0.7512  0.8121  2 Ag 3.51-3.76, 1 Tl 3.78
Ba  0.6658  0.3617  0.6959  3 Ag 3.43-3.53
Ba  0.6658  0.9699  0.3041  3 Ag 3.43-3.53
Ba  0.8258  0.2713  0.0971  4 Ag 3.56-3.64
Ba  0.8258  0.7287  0.5546  4 Ag 3.56-3.64
Ba  0.9391  0.7512  0.1879  2 Ag 3.51-3.76, 1 Tl 3.78
Tl  0.5000  0.5000  0.0000  8 Ba 3.78-3.94
Ag  0.0000  0.0000  0.0000  8 Ba 3.64-3.76, 2 Ag 3.95
Ag  0.1177  0.6177  0.5000  1 Ag 2.88
Ag  0.3372  0.0000  0.3372  8 Ba 3.51-3.56, 1 Ag 3.81
Ag  0.6628  0.0000  0.6628  8 Ba 3.51-3.56, 1 Ag 3.81
Ag  0.8823  0.3823  0.5000  1 Ag 2.88

A geometry-optimized Ba2TlAg2 structure, computed with PBE.

Values from the calculation:
D(E_F)   0.775 states/eV per atom
Energy relative to the elements   -0.28 eV per atom
Space group   P4/mbm, No. 127

Lattice parameters (Å, degrees): 8.7180 8.7180 4.5105 90.00 90.00 90.00
Closest atoms and distances in Å follow each position.
Fractional coordinates of all 10 atoms:
Ba  0.1831  0.3169  0.0000  6 Ag 3.36-3.49
Ba  0.3169  0.8169  0.0000  6 Ag 3.36-3.49
Ba  0.6831  0.1831  0.0000  6 Ag 3.36-3.49
Ba  0.8169  0.6831  0.0000  6 Ag 3.36-3.49
Tl  0.0000  0.0000  0.5000  4 Ag 3.50, 8 Ba 3.91
Tl  0.5000  0.5000  0.5000  4 Ag 3.50, 8 Ba 3.91
Ag  0.1149  0.6149  0.5000  1 Ag 2.83
Ag  0.3851  0.1149  0.5000  1 Ag 2.83
Ag  0.6149  0.8851  0.5000  1 Ag 2.83
Ag  0.8851  0.3851  0.5000  1 Ag 2.83

A geometry-optimized Ba2TlAg2 structure, computed with PBE.

Values from the calculation:
D(E_F)   0.672 states/eV per atom
Energy relative to the elements   -0.19 eV per atom
Space group   I4/mmm, No. 139

Lattice parameters (Å, degrees): 4.0365 4.0365 20.8370 90.00 90.00 90.00
Closest atoms and distances in Å follow each position.
Fractional coordinates of all 10 atoms:
Ba  0.0000  0.0000  0.1114  4 Ag 3.52, 4 Tl 3.68
Ba  0.0000  0.0000  0.8886  4 Ag 3.52, 4 Tl 3.68
Ba  0.5000  0.5000  0.3886  4 Ag 3.52, 4 Tl 3.68
Ba  0.5000  0.5000  0.6114  4 Ag 3.52, 4 Tl 3.68
Tl  0.0000  0.0000  0.5000  8 Ba 3.68, 4 Tl 4.04
Tl  0.5000  0.5000  0.0000  8 Ba 3.68, 4 Tl 4.04
Ag  0.0000  0.5000  0.2500  4 Ag 2.85
Ag  0.0000  0.5000  0.7500  4 Ag 2.85
Ag  0.5000  0.0000  0.2500  4 Ag 2.85
Ag  0.5000  0.0000  0.7500  4 Ag 2.85

A geometry-optimized Ba4TlAg3 structure, computed with PBE.

Values from the calculation:
D(E_F)   0.603 states/eV per atom
Energy relative to the elements   -0.28 eV per atom
Space group   Pmm2, No. 25

Lattice parameters (Å, degrees): 4.6823 5.1760 12.6762 90.00 90.00 90.00
Closest atoms and distances in Å follow each position.
Fractional coordinates of all 8 atoms:
Ba  0.0000  0.0000  0.0000  6 Ag 3.47-3.60, 1 Tl 3.74
Ba  0.0000  0.5000  0.2709  7 Ag 3.46-3.69
Ba  0.5000  0.0000  0.4892  2 Tl 3.60, 5 Ag 3.61-3.65
Ba  0.5000  0.5000  0.7747  3 Ag 3.57-3.75, 4 Tl 3.60
Tl  0.0000  0.0000  0.7048  2 Ag 3.16
Ag  0.0000  0.5000  0.5622  2 Tl 3.16
Ag  0.5000  0.0000  0.2016  2 Ag 3.08
Ag  0.5000  0.5000  0.0702  2 Ag 3.08

| no. | magnetization (μB/atom) | final energy (eV per atom) |
| --- | --- | --- |
| 1 | 0.0000 | -2.4910 |
| 2 | 0.0000 | -2.7250 |
| 3 | 0.0000 | -2.2556 |
| 4 | 0.0000 | -2.6201 |
| 5 | 0.0000 | -2.3978 |
| 6 | 0.0001 | -2.2723 |
| 7 | 0.0000 | -2.5658 |
| 8 | 0.0000 | -2.5835 |
| 9 | 0.0000 | -2.3961 |
| 10 | 0.0000 | -2.6579 |
| 11 | 0.0000 | -2.5748 |
| 12 | 0.0000 | -2.6108 |